! GGA-PBE CaIr2Pb2, relaxed; values from VASP
&SYSTEM
  ibrav = 0, nat = 10, ntyp = 3
/
ATOMIC_SPECIES
Pb 207.20 Pb.upf
Ca 40.08 Ca.upf
Ir 192.22 Ir.upf
ATOMIC_POSITIONS angstrom
Pb 1.2622 5.0623 1.8949
Pb 5.0623 6.3379 1.8949
Pb 6.3379 2.5378 1.8949
Pb 2.5378 1.2622 1.8949
Ca 0.0000 0.0000 0.0000
Ca 3.8001 3.8001 0.0000
Ir 2.8339 6.6340 0.0000
Ir 6.6340 4.7663 0.0000
Ir 4.7663 0.9662 0.0000
Ir 0.9662 2.8339 0.0000
CELL_PARAMETERS angstrom
7.6002 0.0000 0.0000
0.0000 7.6002 0.0000
0.0000 0.0000 3.7897
! E_form = 0.0917 eV/atom
! volume = 218.9 Å³/cell
! D(E_F) = 3.92 states/eV/f.u.
! VASP energy = -53.4 eV/cell
! energy above the most stable polymorph in this dataset = 0.095 eV per atom